(1)
Computed, not measured: a relaxed AsOsO2 crystal at the PBE-GGA level of DFT.

Properties
**Formation energy without anion corrections**: -0.9 eV per formula unit
**E_tot**: -26.7 eV/f.u.

Structure (extended XYZ):
```
4
Lattice="1.446 0.835 6.910 -1.446 0.835 6.910 0.000 -1.669 6.910" Properties=species:S:1:pos:R:3 pbc="T T T"
As 0.000 0.000 0.000
Os 0.000 0.000 10.364
O 0.000 0.000 2.183
O 0.000 0.000 18.546
```

---

(2)
Computed, not measured: a relaxed As3OsO crystal at the PBE-GGA level of DFT.

Properties
**Formation energy without anion corrections**: 4.9 eV per formula unit
**ΔE to the lowest computed polymorph**: 386 meV per atom
**E_tot**: -25.3 eV/f.u.

Structure (extended XYZ):
```
5
Lattice="4.755 0.000 0.000 0.000 4.755 0.000 0.000 0.000 4.755" Properties=species:S:1:pos:R:3 pbc="T T T"
As 0.000 0.000 2.377
As 0.000 2.377 0.000
As 2.377 0.000 0.000
Os 0.000 0.000 0.000
O 2.377 2.377 2.377
```

---

- What is the formula in the first record?
  AsOsO2

---

- Look up the formation energy without anion corrections of the first one.
  -0.9 eV per formula unit

---

- E_tot of number 2 (As3OsO)?
  -25.3 eV/f.u.